(1)
Below is an optimized crystal structure of TiV, with properties calculated at the PBE level.

Lattice parameters (Å, degrees): 5.2496 5.4837 8.5421 90.00 90.00 90.00
Closest atoms and distances in Å follow each position.
Space group P2_12_12_1 (No. 19)
Unique sites:
Ti 0.0231 0.1970 0.2444 x4  5 V 2.59-2.82, 5 Ti 2.75-2.84
Ti 0.2221 0.4484 0.5052 x4  7 V 2.62-2.80, 3 Ti 2.78-2.84
V 0.0211 0.1828 0.7527 x4  5 V 2.66-2.78, 5 Ti 2.70-2.80
V 0.2087 0.9450 0.5069 x4  7 Ti 2.59-2.82, 3 V 2.66-2.78

N(E_F) in states/eV per cell: 26.096
Energy of formation in eV per atom: 0.14

(2)
Below is an optimized crystal structure of Ho2TlCl, with properties calculated at the PBE level.

Lattice parameters (Å, degrees): 4.7184 4.7184 23.8254 90.00 90.00 120.00
Closest atoms and distances in Å follow each position.
Space group R-3m (No. 166, hexagonal axes)
Unique sites:
Ho 0.0000 0.0000 0.1105 x6  1 Cl 2.63
Tl 0.0000 0.0000 0.5000 x3  6 Ho 3.03
Cl 0.0000 0.0000 0.0000 x3  2 Ho 2.63

Formation energy (no corrections) in eV/atom: -0.671
N(E_F) in states/eV per cell: 0.791

(3)
Below is an optimized crystal structure of La3CoPb, with properties calculated at the PBE level.

Lattice parameters (Å, degrees): 6.8725 13.3313 6.4434 90.00 90.00 90.00
Closest atoms and distances in Å follow each position.
Space group Cmcm (No. 63)
Unique sites:
La 0.0000 0.0000 0.0000 x4  2 Co 2.85
La 0.2494 0.3044 0.2500 x8  1 Co 2.42
Co 0.0000 0.1767 0.2500 x4  2 La 2.42
Pb 0.0000 0.4457 0.7500 x4  2 Pb 3.53, 8 La 3.75-3.86, 2 Co 3.80

N(E_F) in states/eV per cell: 18.098
Energy relative to the lowest polymorph listed for this composition in eV/atom: 0.297
Energy of formation in eV per atom: -0.10

(4)
Below is an optimized crystal structure of LiPm4Mg5, with properties calculated at the PBE level.

Lattice parameters (Å, degrees): 3.8040 3.8040 19.0481 90.00 90.00 90.00
Closest atoms and distances in Å follow each position.
Space group P4/mmm (No. 123)
Unique sites:
Li 0.0000 0.0000 0.0000 x1  8 Mg 3.14
Pm 0.0000 0.0000 0.1937 x2  8 Mg 3.31-3.39, 1 Li 3.69
Pm 0.0000 0.0000 0.3965 x2  8 Mg 3.32-3.33
Mg 0.5000 0.5000 0.0851 x2  4 Li 3.14, 1 Mg 3.24, 4 Pm 3.39
Mg 0.5000 0.5000 0.2946 x2  8 Pm 3.31-3.32
Mg 0.5000 0.5000 0.5000 x1  8 Pm 3.33

N(E_F) in states/eV per cell: 9.176
Energy of formation in eV per atom: -0.08

(5)
Below is an optimized crystal structure of LuPuSnGe, with properties calculated at the PBE level.

Lattice parameters (Å, degrees): 7.2883 7.2883 7.2883 90.00 90.00 90.00
Closest atoms and distances in Å follow each position.
Space group F-43m (No. 216)
Unique sites:
Lu 0.0000 0.0000 0.0000 x4  4 Ge 3.16, 4 Sn 3.16
Pu 0.0000 0.0000 0.5000 x4  4 Ge 3.16, 4 Sn 3.16
Sn 0.2500 0.2500 0.2500 x4  4 Pu 3.16, 4 Lu 3.16
Ge 0.2500 0.2500 0.7500 x4  4 Pu 3.16, 4 Lu 3.16

N(E_F) in states/eV per cell: 35.295
Energy of formation in eV per atom: -0.40

(6)
Below is an optimized crystal structure of Ce3Er3ScS8, with properties calculated at the PBE level.

Lattice parameters (Å, degrees): 7.7910 7.7910 19.5342 90.00 90.00 120.00
Closest atoms and distances in Å follow each position.
Space group R-3m (No. 166, hexagonal axes)
Unique sites:
Ce 0.0000 0.5000 0.0000 x9  6 S 2.84
Er 0.0000 0.5000 0.5000 x9  6 S 2.72
Sc 0.0000 0.0000 0.5000 x3  6 S 2.67
S 0.0000 0.0000 0.2448 x6  3 Er 2.72, 3 Ce 2.84
S 0.0059 0.5029 0.2436 x18  1 Sc 2.67, 2 Er 2.72, 2 Ce 2.84

Formation energy (no corrections) in eV/atom: -2.022
N(E_F) in states/eV per cell: 55.888